FePb2F6 | GGA+U | relaxed

Cell: 5.4184 5.4184 11.0448 Å, 90.00 90.00 90.00°
Closest atoms and distances in Å follow each position.
Fractional coordinates of all 18 atoms:
Fe1 0.0000 0.0000 0.0000  6 F 2.04-2.17
Fe2 0.5000 0.5000 0.5000  6 F 2.04-2.17
Pb1 0.0000 0.0000 0.3344  6 F 2.44-2.56
Pb2 0.0000 0.0000 0.6656  6 F 2.44-2.56
Pb3 0.5000 0.5000 0.1656  6 F 2.44-2.56
Pb4 0.5000 0.5000 0.8344  6 F 2.44-2.56
F1 0.1798 0.1798 0.1521  1 Fe 2.17
F2 0.1798 0.1798 0.8479  1 Fe 2.17
F3 0.2333 0.2333 0.5000  1 Fe 2.04
F4 0.2667 0.7333 0.0000  1 Fe 2.04
F5 0.3202 0.6798 0.3479  1 Fe 2.17
F6 0.3202 0.6798 0.6521  1 Fe 2.17
F7 0.6798 0.3202 0.3479  1 Fe 2.17
F8 0.6798 0.3202 0.6521  1 Fe 2.17
F9 0.7333 0.2667 0.0000  1 Fe 2.04
F10 0.7667 0.7667 0.5000  1 Fe 2.04
F11 0.8202 0.8202 0.1521  1 Fe 2.17
F12 0.8202 0.8202 0.8479  1 Fe 2.17

Properties
Spin magnetization: 0.44 μB/atom
Calculated total energy: -5.0751 eV/atom
Calculated volume: 324.3 Å³/cell